VASP calculation (PBE) on a relaxed BaLa2O4 crystal.

abc: 6.420 6.420 23.468
angles: 89.23 89.23 61.28
Positions (direct):
La 0.560 0.782 0.195
La 0.112 0.899 0.574
La 0.782 0.560 0.695
La 0.768 0.558 0.550
La 0.232 0.442 0.450
La 0.442 0.232 0.950
La 0.558 0.768 0.050
La 0.440 0.218 0.805
La 0.218 0.440 0.305
La 0.101 0.888 0.926
La 0.899 0.112 0.074
La 0.888 0.101 0.426
O 0.242 0.843 0.123
O 0.114 0.292 0.748
O 0.843 0.242 0.623
O 0.469 0.813 0.620
O 0.157 0.758 0.377
O 0.964 0.374 0.374
O 0.187 0.531 0.880
O 0.886 0.708 0.252
O 0.211 0.076 0.003
O 0.500 0.500 0.000
O 0.924 0.789 0.497
O 0.515 0.485 0.750
O 0.374 0.964 0.874
O 0.758 0.157 0.877
O 0.708 0.886 0.752
O 0.531 0.187 0.380
O 0.036 0.626 0.626
O 0.500 0.500 0.500
O 0.626 0.036 0.126
O 0.485 0.515 0.250
O 0.789 0.924 0.997
O 0.076 0.211 0.503
O 0.292 0.114 0.248
O 0.813 0.469 0.120
Ba 0.233 0.440 0.149
Ba 0.560 0.767 0.351
Ba 0.888 0.112 0.250
Ba 0.112 0.888 0.750
Ba 0.767 0.560 0.851
Ba 0.440 0.233 0.649

Calculated values
- raw formation energy (eV/atom) = -3.133
- N(E_F) (states/eV per atom) = 0.0000
- electronic total energy (eV per atom) = -7.65

VASP calculation (PBE) on a relaxed CeMn2SiGe2 crystal.

abc: 4.269 4.269 5.573
angles: 90.00 90.00 90.00
Last column: magnetic moment on the atom in μB.
Positions (direct):
Mn 0.500 0.000 0.000  0.72
Mn 0.000 0.500 0.000  0.72
Si 0.000 0.000 0.000  -0.02
Ce 0.000 0.000 0.500  0.47
Ge 0.500 0.500 0.264  -0.03
Ge 0.500 0.500 0.736  -0.03

Calculated values
- raw formation energy (eV/atom) = -0.199
- N(E_F) (states/eV per atom) = 1.3083
- electronic total energy (eV per atom) = -6.69

VASP calculation (PBE) on a relaxed PuUN2 crystal.

abc: 3.456 3.456 4.885
angles: 90.00 90.00 90.00
Last column: magnetic moment on the atom in μB.
Positions (direct):
N 0.000 0.000 0.000  -0.11
N 0.500 0.500 0.500  -0.16
Pu 0.000 0.000 0.500  4.60
U 0.500 0.500 0.000  1.35

Calculated values
- raw formation energy (eV/atom) = -1.276
- N(E_F) (states/eV per atom) = 2.2746
- electronic total energy (eV per atom) = -11.84

VASP calculation (PBE) on a relaxed BaSrY2 crystal.

abc: 7.425 7.425 7.425
angles: 147.69 128.59 62.04
Positions (direct):
Sr 0.235 0.735 0.500
Ba 0.514 0.514 0.000
Y 0.769 0.269 0.500
Y 0.983 0.983 0.000

Calculated values
- N(E_F) (states/eV per atom) = 1.3516
- electronic total energy (eV per atom) = -3.88

VASP calculation (PBE) on a relaxed GdCd4Ag crystal.

abc: 5.822 5.822 5.822
angles: 60.00 60.00 60.00
Last column: magnetic moment on the atom in μB.
Positions (direct):
Cd 0.625 0.125 0.625  0.00
Cd 0.125 0.625 0.625  0.00
Cd 0.625 0.625 0.125  0.00
Cd 0.625 0.625 0.625  0.00
Gd 0.000 0.000 0.000  7.05
Ag 0.250 0.250 0.250  0.00

Calculated values
- N(E_F) (states/eV per atom) = 1.0785
- electronic total energy (eV per atom) = -3.50

VASP calculation (PBE) on a relaxed MgAl3Cu crystal.

abc: 4.635 4.635 4.635
angles: 90.00 90.00 90.00
Positions (direct):
Mg 0.500 0.500 0.500
Al 0.000 0.500 0.000
Al 0.500 0.000 0.000
Al 0.000 0.000 0.500
Cu 0.000 0.000 0.000

Calculated values
- N(E_F) (states/eV per atom) = 0.5160
- electronic total energy (eV per atom) = -3.13